# 1
DFT (PBE) results for a relaxed LiPrSeO crystal.

Cell and atoms, written as extended XYZ:
```
8
Lattice="4.550 0.000 0.000 0.000 4.184 0.000 0.000 0.000 7.106" Properties=species:S:1:pos:R:3 pbc="T T T"
Li 0.000 1.017 0.000
Li 0.000 3.167 3.553
Pr 2.275 1.064 2.390
Pr 2.275 3.120 5.942
Se 0.000 1.072 4.717
Se 0.000 3.111 1.164
O 2.275 1.022 0.009
O 2.275 3.161 3.562
```

Computed properties:
relative energy among the computed polymorphs = 145.5 meV/atom
calculated density = 6.0 Mg/m³
DFT total energy = -5.977 eV/atom
spin magnetization = 0.00 μB per formula unit



# 2
DFT (PBE) results for a relaxed SrIrAuSe3 crystal.

Cell and atoms, written as extended XYZ:
```
12
Lattice="1.979 -7.245 0.000 1.979 7.245 0.000 0.000 0.000 10.303" Properties=species:S:1:pos:R:3 pbc="T T T"
Sr 1.979 4.205 7.728
Sr 1.979 -4.205 2.576
Ir 1.979 0.000 0.000
Ir 1.979 0.000 5.152
Au 1.979 5.421 2.576
Au 1.979 -5.421 7.728
Se 1.979 5.657 0.153
Se 1.979 5.657 4.999
Se 1.979 0.728 2.576
Se 1.979 -0.728 7.728
Se 1.979 -5.657 5.305
Se 1.979 -5.657 10.151
```

Computed properties:
calculated density = 8.0 Mg/m³
DFT total energy = -4.625 eV/atom
spin magnetization = 0.00 μB per formula unit



# 3
DFT (PBE) results for a relaxed Nb3SBrCl6 crystal.

Cell and atoms, written as extended XYZ:
```
11
Lattice="6.924 0.000 0.000 -3.462 5.996 0.000 0.000 0.000 6.390" Properties=species:S:1:pos:R:3 pbc="T T T"
Nb 0.000 2.346 0.000
Nb -1.430 4.823 0.000
Nb 1.430 4.823 0.000
S 0.000 3.997 4.635
Br 0.000 0.000 1.523
Cl -1.727 3.000 1.572
Cl 1.731 1.000 5.068
Cl 1.727 3.000 1.572
Cl 0.000 5.991 1.572
Cl 5.192 1.000 5.068
Cl 3.462 3.997 5.068
```

Computed properties:
calculated density = 3.8 Mg/m³
DFT total energy = -5.540 eV/atom
spin magnetization = 0.01 μB per formula unit



# 4
DFT (PBE) results for a relaxed LaSc2 crystal.

Cell and atoms, written as extended XYZ:
```
6
Lattice="5.911 0.000 0.000 0.000 3.443 0.000 -2.036 0.000 7.907" Properties=species:S:1:pos:R:3 pbc="T T T"
La 0.000 0.000 0.000
La 2.956 1.721 0.000
Sc -0.026 0.000 5.178
Sc 0.946 1.721 2.729
Sc 2.930 1.721 5.178
Sc 3.902 0.000 2.729
```

Computed properties:
relative energy among the computed polymorphs = 0.0 meV/atom
calculated density = 4.7 Mg/m³
DFT total energy = -5.803 eV/atom
spin magnetization = 0.01 μB per formula unit



# 5
DFT (PBE) results for a relaxed ScZn2Ga crystal.

Cell and atoms, written as extended XYZ:
```
16
Lattice="6.445 0.000 0.000 0.000 6.445 0.000 0.000 0.000 6.445" Properties=species:S:1:pos:R:3 pbc="T T T"
Sc 0.000 0.000 0.000
Sc 0.000 3.223 3.223
Sc 3.223 0.000 3.223
Sc 3.223 3.223 0.000
Zn 0.000 0.000 3.223
Zn 0.000 3.223 0.000
Zn 1.611 1.611 1.611
Zn 1.611 4.834 4.834
Zn 3.223 0.000 0.000
Zn 3.223 3.223 3.223
Zn 4.834 1.611 4.834
Zn 4.834 4.834 1.611
Ga 1.611 1.611 4.834
Ga 1.611 4.834 1.611
Ga 4.834 1.611 1.611
Ga 4.834 4.834 4.834
```

Computed properties:
calculated density = 6.1 Mg/m³
DFT total energy = -3.241 eV/atom
spin magnetization = 0.00 μB per formula unit



# 6
DFT (PBE) results for a relaxed CdSiP2 crystal.

Cell and atoms, written as extended XYZ:
```
16
Lattice="5.712 0.000 0.000 0.000 5.712 0.000 0.000 0.000 10.592" Properties=species:S:1:pos:R:3 pbc="T T T"
Cd 0.000 0.000 0.000
Cd 0.000 2.856 2.648
Cd 2.856 0.000 7.944
Cd 2.856 2.856 5.296
Si 0.000 0.000 5.296
Si 0.000 2.856 7.944
Si 2.856 0.000 2.648
Si 2.856 2.856 0.000
P 1.169 1.428 6.620
P 1.428 4.024 9.268
P 1.428 4.543 3.972
P 1.687 1.428 1.324
P 4.024 4.284 1.324
P 4.284 1.169 3.972
P 4.284 1.687 9.268
P 4.543 4.284 6.620
```

Computed properties:
relative energy among the computed polymorphs = 0.0 meV/atom
calculated density = 3.9 Mg/m³
DFT total energy = -4.490 eV/atom



# 7
DFT (PBE) results for a relaxed Pr3In2NiSnPt2 crystal.

Cell and atoms, written as extended XYZ:
```
9
Lattice="3.979 0.000 0.000 0.000 6.746 3.890 0.000 -6.746 3.890" Properties=species:S:1:pos:R:3 pbc="T T T"
Pr 0.000 0.000 0.000
Pr 0.000 -2.789 2.964
Pr 0.000 2.789 2.964
In 1.990 -1.641 5.522
In 1.990 1.641 5.522
Ni 0.000 0.000 4.501
Sn 1.990 0.000 2.687
Pt 1.990 -4.494 4.560
Pt 1.990 4.494 4.560
```

Computed properties:
calculated density = 9.7 Mg/m³
DFT total energy = -5.454 eV/atom
spin magnetization = 0.00 μB per formula unit



# 8
DFT (PBE) results for a relaxed LuTlPdS3 crystal.

Cell and atoms, written as extended XYZ:
```
12
Lattice="1.927 -7.101 0.000 1.927 7.101 0.000 0.000 0.000 10.199" Properties=species:S:1:pos:R:3 pbc="T T T"
Lu 0.000 0.000 0.000
Lu 0.000 0.000 5.100
Tl 1.927 3.592 7.649
Tl 1.927 -3.592 2.550
Pd 1.927 0.385 2.550
Pd 1.927 -0.385 7.649
S 1.927 6.100 2.550
S 1.927 1.796 0.565
S 1.927 1.796 4.535
S 1.927 -1.796 5.664
S 1.927 -1.796 9.635
S 1.927 -6.100 7.649
```

Computed properties:
relative energy among the computed polymorphs = 22.7 meV/atom
calculated density = 6.9 Mg/m³
DFT total energy = -5.000 eV/atom
spin magnetization = 0.03 μB per formula unit